# 1
Material: AlReWBr2
Method: DFT, PBE-GGA
State: relaxed

CIF file:
```
data_AlReWBr2
_cell_length_a 5.069
_cell_length_b 5.069
_cell_length_c 4.980
_cell_angle_alpha 90.00
_cell_angle_beta 90.00
_cell_angle_gamma 90.00
_symmetry_space_group_name_H-M 'P 4/m m m'
_symmetry_Int_Tables_number 123
_symmetry_space_group_name_Hall '-P 4 2'
loop_
_atom_site_label
_atom_site_type_symbol
_atom_site_fract_x
_atom_site_fract_y
_atom_site_fract_z
Al1 Al 0.000 0.000 0.000
Re1 Re 0.500 0.500 0.000
W1 W 0.500 0.500 0.500
Br1 Br 0.000 0.500 0.500
```

Properties
**ΔE_f (raw)**: 1.383 eV per atom

=====

# 2
Material: Ce5Ru4Pb
Method: DFT, PBE-GGA
State: relaxed

CIF file:
```
data_Ce5Ru4Pb
_cell_length_a 7.853
_cell_length_b 8.777
_cell_length_c 6.998
_cell_angle_alpha 90.00
_cell_angle_beta 90.00
_cell_angle_gamma 90.00
_symmetry_space_group_name_H-M 'P m m n'
_symmetry_Int_Tables_number 59
loop_
_symmetry_equiv_pos_as_xyz
'x,y,z'
'-x,-y,-z'
'-x+1/2,-y+1/2,z'
'x+1/2,y+1/2,-z'
'x+1/2,-y,-z'
'-x+1/2,y,z'
'-x,y+1/2,-z'
'x,-y+1/2,z'
loop_
_atom_site_label
_atom_site_type_symbol
_atom_site_fract_x
_atom_site_fract_y
_atom_site_fract_z
Ce1 Ce 0.003 0.048 0.241
Ce2 Ce 0.250 0.750 0.385
Ru1 Ru 0.081 0.750 0.995
Ru2 Ru 0.250 0.081 0.491
Pb1 Pb 0.250 0.250 0.858
```

Properties
**Energy of formation from the pure elements**: -0.2144 eV/atom

=====

# 3
Material: La3Er4Se8
Method: DFT, PBE-GGA
State: relaxed

CIF file:
```
data_La3Er4Se8
_cell_length_a 11.768
_cell_length_b 11.781
_cell_length_c 8.264
_cell_angle_alpha 90.00
_cell_angle_beta 134.48
_cell_angle_gamma 90.00
_symmetry_space_group_name_H-M 'C 1 2/m 1'
_symmetry_Int_Tables_number 12
loop_
_symmetry_equiv_pos_as_xyz
'x,y,z'
'-x,-y,-z'
'-x,y,-z'
'x,-y,z'
'x+1/2,y+1/2,z'
'-x+1/2,-y+1/2,-z'
'-x+1/2,y+1/2,-z'
'x+1/2,-y+1/2,z'
loop_
_atom_site_label
_atom_site_type_symbol
_atom_site_fract_x
_atom_site_fract_y
_atom_site_fract_z
La1 La 0.000 0.000 0.000
La2 La 0.250 0.250 0.000
Er1 Er 0.000 0.500 0.000
Er2 Er 0.000 0.500 0.500
Er3 Er 0.250 0.250 0.500
Se1 Se 0.000 0.254 0.500
Se2 Se 0.000 0.257 0.000
Se3 Se 0.237 0.500 0.989
Se4 Se 0.241 0.500 0.486
```

Properties
**ΔE_f (raw)**: -1.863 eV per atom

=====

# 4
Material: AgTe2Mo
Method: DFT, PBE-GGA
State: relaxed

CIF file:
```
data_AgTe2Mo
_cell_length_a 3.231
_cell_length_b 4.903
_cell_length_c 13.106
_cell_angle_alpha 90.00
_cell_angle_beta 90.00
_cell_angle_gamma 90.00
_symmetry_space_group_name_H-M 'I m m m'
_symmetry_Int_Tables_number 71
_symmetry_space_group_name_Hall '-I 2 2'
loop_
_atom_site_label
_atom_site_type_symbol
_atom_site_fract_x
_atom_site_fract_y
_atom_site_fract_z
Ag1 Ag 0.000 0.000 0.000
Te1 Te 0.000 0.500 0.163
Mo1 Mo 0.000 0.000 0.500
```

Properties
**Offset from the most stable computed form**: 0.130 eV per atom
**ΔE_f (raw)**: 0.233 eV per atom

=====

These records have Fermi-level density of states values of 3.266, 34.840, 14.944, 6.857 states/eV per cell, in the order they appear.
These records have theoretical density values of 7.23, 9.03, 6.98, 7.34 g/cm³, in the order they appear.